A plane-wave DFT calculation with GGA-PBE was carried out for a geometry-optimized Al2BiPt structure.

Geometry as CIF:
```
data_Al2BiPt
_chemical_formula_sum 'Al4 Bi2 Pt2'
_space_group_name_H-M_alt 'P 1'
_space_group_IT_number 1
_space_group_name_Hall 'P 1'
_cell_length_a 8.8944
_cell_length_b 8.8944
_cell_length_c 8.8944
_cell_angle_alpha 149.23
_cell_angle_beta 149.23
_cell_angle_gamma 44.07
loop_
_atom_site_label
_atom_site_type_symbol
_atom_site_fract_x
_atom_site_fract_y
_atom_site_fract_z
_atom_site_occupancy
Al1 Al 0.0203 0.6250 0.8953 1
Al2 Al 0.3750 0.2703 0.3953 1
Al3 Al 0.7297 0.1250 0.1047 1
Al4 Al 0.8750 0.9797 0.6047 1
Bi1 Bi 0.2500 0.7500 0.5000 1
Bi2 Bi 0.5000 0.5000 0.0000 1
Pt1 Pt 0.0000 0.0000 0.0000 1
Pt2 Pt 0.7500 0.2500 0.5000 1
```

Output
* theoretical density: 8.29 Mg/m³
* DOS at the Fermi energy: 0.431 states/eV/atom
* E_form: -0.2177 eV/atom